Entry 1:
## SrMg2Pt2 (PBE)

Data for a relaxed structure of SrMg2Pt2.

Lattice parameters (Å, degrees): 4.802 4.802 6.047 66.61 66.61 90.00
Sites, in units of the cell vectors:
1 Sr 0.000 0.000 0.000
2 Mg 0.350 0.350 0.300
3 Mg 0.650 0.650 0.700
4 Pt 0.750 0.250 0.500
5 Pt 0.250 0.750 0.500

---

Entry 2:
## SrMg2Pt (PBE)

Data for a relaxed structure of SrMg2Pt.

Lattice parameters (Å, degrees): 5.083 5.083 5.083 119.31 119.31 91.20
Sites, in units of the cell vectors:
1 Mg 0.000 0.000 0.000
2 Mg 0.750 0.250 0.500
3 Pt 0.500 0.500 0.000
4 Sr 0.250 0.750 0.500

---

Entry 3:
## Sr2MgPt (PBE)

Data for a relaxed structure of Sr2MgPt.

Lattice parameters (Å, degrees): 11.092 11.092 8.255 47.79 47.79 90.00
Sites, in units of the cell vectors:
1 Sr 0.788 0.125 0.250
2 Sr 0.962 0.625 0.250
3 Sr 0.375 0.212 0.750
4 Sr 0.875 0.038 0.750
5 Mg 0.500 0.500 0.000
6 Mg 0.250 0.750 0.500
7 Pt 0.000 0.000 0.000
8 Pt 0.750 0.250 0.500

---

Entry 4:
## SrMgPt2 (PBE)

Data for a relaxed structure of SrMgPt2.

Lattice parameters (Å, degrees): 5.588 5.588 5.160 77.12 77.12 31.61
Sites, in units of the cell vectors:
1 Mg 0.719 0.719 0.830
2 Pt 0.984 0.984 0.956
3 Pt 0.276 0.276 0.269
4 Sr 0.521 0.521 0.445

---

Entry 5:
## SrMg2Pt (PBE)

Data for a relaxed structure of SrMg2Pt.

Lattice parameters (Å, degrees): 5.849 5.849 3.160 90.00 90.00 119.58
Sites, in units of the cell vectors:
1 Mg 0.000 0.000 0.000
2 Mg 0.500 0.500 0.000
3 Pt 0.500 0.000 0.500
4 Sr 0.000 0.500 0.500

---

Entry 6:
## SrMg2Pt2 (PBE)

Data for a relaxed structure of SrMg2Pt2.

Lattice parameters (Å, degrees): 8.042 8.042 3.030 90.00 90.00 90.00
Sites, in units of the cell vectors:
1 Sr 0.000 0.000 0.000
2 Sr 0.500 0.500 0.000
3 Mg 0.376 0.876 0.000
4 Mg 0.876 0.624 0.000
5 Mg 0.624 0.124 0.000
6 Mg 0.124 0.376 0.000
7 Pt 0.171 0.671 0.500
8 Pt 0.671 0.829 0.500
9 Pt 0.829 0.329 0.500
10 Pt 0.329 0.171 0.500

---

no.,E_form (eV per atom)
1,-0.600
2,-0.301
3,-0.412
4,-0.534
5,-0.013
6,-0.700